Computed, not measured: a geometry-optimized K2ZrBe structure at the PBE-GGA level of DFT.

Cell and atoms, written as POSCAR:
```
K2ZrBe
1.0
3.422 0.000 0.000
0.000 3.422 0.000
0.000 0.000 11.254
K Zr Be
2 1 1
Direct
0.000 0.000 0.000 K
0.500 0.500 0.380 K
0.000 0.000 0.677 Zr
0.500 0.500 0.774 Be
```

As for the calculated formation energy: 0.54 eV/atom. For the density of states at the Fermi level, the calculation gives 0.5272 states/eV per atom.


Computed, not measured: a geometry-optimized K2ZrBe structure at the PBE-GGA level of DFT.

Cell and atoms, written as POSCAR:
```
K2ZrBe
1.0
-6.063 6.063 2.464
6.063 -6.063 2.464
6.063 6.063 -2.464
K Zr Be
4 2 2
Direct
0.375 0.227 0.352 K
0.773 0.125 0.148 K
0.875 0.023 0.648 K
0.977 0.625 0.852 K
0.250 0.750 0.500 Zr
0.500 0.500 0.000 Zr
0.000 0.000 0.000 Be
0.750 0.250 0.500 Be
```

As for the calculated formation energy: 1.21 eV/atom. For the density of states at the Fermi level, the calculation gives 1.2428 states/eV per atom.


Computed, not measured: a geometry-optimized K2ZrBe structure at the PBE-GGA level of DFT.

Cell and atoms, written as POSCAR:
```
K2ZrBe
1.0
3.116 -6.378 0.000
3.116 6.378 0.000
-1.533 0.000 2.813
K Zr Be
2 1 1
Direct
0.000 0.500 0.000 K
0.500 0.000 0.000 K
0.000 0.000 0.500 Zr
0.500 0.500 0.500 Be
```

As for the calculated formation energy: 1.12 eV/atom. For the density of states at the Fermi level, the calculation gives 0.8944 states/eV per atom.


Computed, not measured: a geometry-optimized KZrBe4 structure at the PBE-GGA level of DFT.

Cell and atoms, written as POSCAR:
```
KZrBe4
1.0
0.000 3.542 3.542
3.542 0.000 3.542
3.542 3.542 0.000
K Zr Be
1 1 4
Direct
0.000 0.000 0.000 K
0.750 0.750 0.750 Zr
0.386 0.386 0.386 Be
0.386 0.386 0.842 Be
0.386 0.842 0.386 Be
0.842 0.386 0.386 Be
```

As for the calculated formation energy: 0.63 eV/atom. For the density of states at the Fermi level, the calculation gives 0.7654 states/eV per atom.


Computed, not measured: a geometry-optimized K2ZrBe structure at the PBE-GGA level of DFT.

Cell and atoms, written as POSCAR:
```
K2ZrBe
1.0
1.640 0.947 12.771
-1.640 0.947 12.771
0.000 -1.894 12.771
K Zr Be
2 1 1
Direct
0.243 0.243 0.243 K
0.757 0.757 0.757 K
0.000 0.000 0.000 Zr
0.500 0.500 0.500 Be
```

As for the calculated formation energy: 1.12 eV/atom. For the density of states at the Fermi level, the calculation gives 1.0790 states/eV per atom.


Computed, not measured: a geometry-optimized K2ZrBe structure at the PBE-GGA level of DFT.

Cell and atoms, written as POSCAR:
```
K2ZrBe
1.0
3.650 0.000 0.000
0.000 4.877 0.000
0.000 0.000 6.243
K Zr Be
2 1 1
Direct
0.000 0.000 0.000 K
0.500 0.500 0.000 K
0.000 0.500 0.500 Zr
0.500 0.000 0.500 Be
```

As for the calculated formation energy: 1.09 eV/atom. For the density of states at the Fermi level, the calculation gives 0.7563 states/eV per atom.


Computed, not measured: a geometry-optimized KZr2Be structure at the PBE-GGA level of DFT.

Cell and atoms, written as POSCAR:
```
KZr2Be
1.0
5.114 -1.550 0.000
5.114 1.550 0.000
-1.266 0.000 7.189
K Zr Be
1 2 1
Direct
0.000 0.000 0.000 K
0.536 0.536 0.519 Zr
0.793 0.793 0.415 Zr
0.246 0.246 0.682 Be
```

As for the calculated formation energy: 0.69 eV/atom. For the density of states at the Fermi level, the calculation gives 0.8235 states/eV per atom.


Computed, not measured: a geometry-optimized K2ZrBe structure at the PBE-GGA level of DFT.

Cell and atoms, written as POSCAR:
```
K2ZrBe
1.0
-1.565 3.158 7.047
1.565 -3.158 7.047
1.565 3.158 -7.047
K Zr Be
2 1 1
Direct
0.000 0.000 0.000 K
0.694 0.194 0.500 K
0.341 0.841 0.500 Zr
0.475 0.475 0.000 Be
```

As for the calculated formation energy: 0.86 eV/atom. For the density of states at the Fermi level, the calculation gives 0.6552 states/eV per atom.


Computed, not measured: a geometry-optimized K2ZrBe structure at the PBE-GGA level of DFT.

Cell and atoms, written as POSCAR:
```
K2ZrBe
1.0
3.058 0.000 0.000
0.000 6.144 0.000
0.000 0.000 6.282
K Zr Be
2 1 1
Direct
0.000 0.000 0.240 K
0.000 0.000 0.760 K
0.500 0.500 0.500 Zr
0.500 0.500 0.000 Be
```

As for the calculated formation energy: 1.19 eV/atom. For the density of states at the Fermi level, the calculation gives 1.0571 states/eV per atom.


Computed, not measured: a geometry-optimized KZr2Be structure at the PBE-GGA level of DFT.

Cell and atoms, written as POSCAR:
```
KZr2Be
1.0
3.071 0.000 0.000
0.000 5.326 0.000
0.000 0.000 5.762
K Zr Be
1 2 1
Direct
0.000 0.000 0.000 K
0.000 0.500 0.500 Zr
0.500 0.000 0.500 Zr
0.500 0.500 0.000 Be
```

As for the calculated formation energy: 0.98 eV/atom. For the density of states at the Fermi level, the calculation gives 1.0311 states/eV per atom.


Computed, not measured: a geometry-optimized KZr2Be structure at the PBE-GGA level of DFT.

Cell and atoms, written as POSCAR:
```
KZr2Be
1.0
1.648 0.952 10.629
-1.648 0.952 10.629
0.000 -1.903 10.629
K Zr Be
1 2 1
Direct
0.000 0.000 0.000 K
0.224 0.224 0.224 Zr
0.481 0.481 0.481 Zr
0.753 0.753 0.753 Be
```

As for the calculated formation energy: 0.62 eV/atom. For the density of states at the Fermi level, the calculation gives 0.9634 states/eV per atom.


Computed, not measured: a geometry-optimized LaBe2 structure at the PBE-GGA level of DFT.

Cell and atoms, written as POSCAR:
```
LaBe2
1.0
-1.493 1.493 5.604
1.493 -1.493 5.604
1.493 1.493 -5.604
La Be
1 2
Direct
0.000 0.000 0.000 La
0.287 0.287 0.000 Be
0.713 0.713 0.000 Be
```

As for the calculated formation energy: 0.33 eV/atom. For the density of states at the Fermi level, the calculation gives 0.6521 states/eV per atom.